## LaMgIn2 (PBE)

Data for a relaxed LaMgIn2 crystal.

Cell: 5.897 5.897 5.897 Å, 132.20 132.22 69.90°
Atoms (fractional coordinates):
1 Mg 0.750 0.250 0.500
2 In 0.250 0.750 0.500
3 In 0.000 0.000 0.000
4 La 0.500 0.500 0.000

Values from the calculation:
As for the symmetry: I-4m2, No. 119. The formation energy is -0.293 eV per atom.



## ErFeSi2Ir (PBE)

Data for a relaxed ErFeSi2Ir crystal.

Cell: 4.023 4.023 5.621 Å, 110.97 110.97 90.00°
Atoms (fractional coordinates):
1 Si 0.374 0.374 0.747
2 Si 0.626 0.626 0.253
3 Er 0.000 0.000 0.000
4 Fe 0.750 0.250 0.500
5 Ir 0.250 0.750 0.500

Values from the calculation:
Its uncorrected formation energy is -894 meV per atom. As for the symmetry: I-4m2, No. 119.



## GeSe3I2 (PBE)

Data for a relaxed GeSe3I2 crystal.

Cell: 14.321 9.556 9.556 Å, 93.31 128.59 128.59°
Atoms (fractional coordinates):
1 Se 0.021 0.434 0.318
2 Se 0.521 0.318 0.434
3 Se 0.750 0.344 0.656
4 Se 0.479 0.682 0.566
5 Se 0.979 0.566 0.682
6 Se 0.250 0.656 0.344
7 I 0.071 0.086 0.835
8 I 0.571 0.835 0.086
9 I 0.929 0.914 0.165
10 I 0.429 0.165 0.914
11 Ge 0.750 0.980 0.020
12 Ge 0.250 0.020 0.980

Values from the calculation:
Its uncorrected formation energy is -157 meV per atom. As for the symmetry: C2/c, No. 15.



## PmPr4Al (PBE)

Data for a relaxed PmPr4Al crystal.

Cell: 3.666 3.666 14.642 Å, 90.00 90.00 90.00°
Atoms (fractional coordinates):
1 Pr 0.500 0.500 0.820
2 Pr 0.000 0.000 0.366
3 Pr 0.000 0.000 0.634
4 Pr 0.500 0.500 0.180
5 Al 0.500 0.500 0.500
6 Pm 0.000 0.000 0.000

Values from the calculation:
As for the symmetry: P4/mmm, No. 123. The calculation puts the distance to the lowest polymorph of the same formula at 0.000 eV per atom. The formation energy is -0.091 eV per atom.



## K6BiF12 (PBE)

Data for a relaxed K6BiF12 crystal.

Cell: 7.589 7.589 7.589 Å, 99.11 99.11 99.11°
Atoms (fractional coordinates):
1 F 0.981 0.268 0.071
2 F 0.576 0.401 0.833
3 F 0.019 0.732 0.929
4 F 0.268 0.071 0.981
5 F 0.071 0.981 0.268
6 F 0.732 0.929 0.019
7 F 0.424 0.599 0.167
8 F 0.929 0.019 0.732
9 F 0.833 0.576 0.401
10 F 0.599 0.167 0.424
11 F 0.401 0.833 0.576
12 F 0.167 0.424 0.599
13 K 0.845 0.398 0.668
14 K 0.155 0.602 0.332
15 K 0.602 0.332 0.155
16 K 0.398 0.668 0.845
17 K 0.668 0.845 0.398
18 K 0.332 0.155 0.602
19 Bi 0.000 0.000 0.000

Values from the calculation:
Its uncorrected formation energy is -2357 meV per atom. As for the symmetry: R-3, No. 148.



## Ba9In3O2 (PBE)

Data for a relaxed Ba9In3O2 crystal.

Cell: 7.959 7.959 9.792 Å, 90.00 90.00 120.00°
Atoms (fractional coordinates):
1 Ba 0.173 0.827 0.676
2 Ba 0.500 0.500 0.000
3 Ba 0.654 0.827 0.676
4 Ba 0.173 0.346 0.676
5 Ba 0.827 0.173 0.324
6 Ba 0.000 0.500 0.000
7 Ba 0.827 0.654 0.324
8 Ba 0.500 0.000 0.000
9 Ba 0.346 0.173 0.324
10 In 0.667 0.333 0.664
11 In 0.333 0.667 0.336
12 In 0.000 0.000 0.000
13 O 0.333 0.667 0.832
14 O 0.667 0.333 0.168

Values from the calculation:
Its uncorrected formation energy is -880 meV per atom. As for the symmetry: P-3m1, No. 164.



## K2Ba4Pd (PBE)

Data for a relaxed K2Ba4Pd crystal.

Cell: 6.387 6.387 11.917 Å, 74.46 74.46 90.00°
Atoms (fractional coordinates):
1 Ba 0.000 0.500 0.000
2 Ba 0.857 0.857 0.286
3 Ba 0.500 0.000 0.000
4 Ba 0.143 0.143 0.714
5 K 0.655 0.655 0.690
6 K 0.345 0.345 0.310
7 Pd 0.000 0.000 0.000

Values from the calculation:
As for the symmetry: I4/mmm, No. 139. The formation energy is -0.081 eV per atom.



## Ca4Pa3TlN8 (PBE)

Data for a relaxed Ca4Pa3TlN8 crystal.

Cell: 7.267 7.038 7.268 Å, 121.08 120.00 90.00°
Atoms (fractional coordinates):
1 N 0.257 0.271 0.514
2 N 0.743 0.729 0.486
3 N 0.738 0.288 0.476
4 N 0.738 0.288 0.051
5 N 0.313 0.288 0.051
6 N 0.262 0.712 0.524
7 N 0.262 0.712 0.949
8 N 0.687 0.712 0.949
9 Tl 0.000 0.500 0.000
10 Ca 0.500 0.000 0.000
11 Ca 0.000 0.000 0.000
12 Ca 0.000 0.000 0.500
13 Ca 0.500 0.000 0.500
14 Pa 0.000 0.500 0.500
15 Pa 0.500 0.500 0.500
16 Pa 0.500 0.500 0.000

Values from the calculation:
Its uncorrected formation energy is -1170 meV per atom. As for the symmetry: R-3m, No. 166.



no.,M_tot (μB per formula unit)
1,0.0
2,0.0
3,0.0
4,0.0
5,1.1
6,1.3
7,0.0
8,0.0